[1]
# Dy2YTm2Lu2Ni2Te2 (PBE-GGA, optimized geometry)
# Calculated density ... 8.73 g/cm3
# Raw total energy ... -117.4 eV for the cell shown
data_Dy2YTm2Lu2Ni2Te2
_cell_length_a 3.828
_cell_length_b 15.458
_cell_length_c 9.481
_cell_angle_alpha 90.00
_cell_angle_beta 90.00
_cell_angle_gamma 90.00
_space_group_name_H-M_alt 'I m m 2'
_space_group_IT_number 44
_space_group_name_Hall 'I 2 -2'
loop_
_atom_site_label
_atom_site_type_symbol
_atom_site_fract_x
_atom_site_fract_y
_atom_site_fract_z
Dy1 Dy 0.000 0.147 0.000
Y1 Y 0.000 0.500 0.732
Tm1 Tm 0.000 0.367 0.149
Lu1 Lu 0.000 0.185 0.351
Ni1 Ni 0.000 0.261 0.660
Te1 Te 0.000 0.000 0.496
Te2 Te 0.000 0.500 0.395

=====

[2]
# PrZn2 (PBE-GGA, optimized geometry)
# Calculated density ... 5.58 g/cm3
# Energy relative to the elements ... 0.14 eV/atom
data_PrZn2
_cell_length_a 6.865
_cell_length_b 6.865
_cell_length_c 6.865
_cell_angle_alpha 90.00
_cell_angle_beta 90.00
_cell_angle_gamma 90.00
_space_group_name_H-M_alt 'F m -3 m'
_space_group_IT_number 225
_space_group_name_Hall '-F 4 2 3'
loop_
_atom_site_label
_atom_site_type_symbol
_atom_site_fract_x
_atom_site_fract_y
_atom_site_fract_z
Pr1 Pr 0.000 0.000 0.000
Zn1 Zn 0.250 0.250 0.250